Compound: Mg2Cd2Si
Source: the Alexandria database
Functional: GGA-PBE
Structure: optimized geometry

**Relative energy among the computed polymorphs**: 0 meV/atom
**Total magnetization**: 0.000 μB/atom

Cell and atoms, written as CIF:
```
data_Mg2Cd2Si
_symmetry_space_group_name_H-M 'P 4/m b m'
_symmetry_Int_Tables_number 127
_symmetry_space_group_name_Hall '-P 4 2ab'
_cell_length_a 7.031
_cell_length_b 7.031
_cell_length_c 4.437
_cell_angle_alpha 90.00
_cell_angle_beta 90.00
_cell_angle_gamma 90.00
loop_
_atom_site_label
_atom_site_fract_x
_atom_site_fract_y
_atom_site_fract_z
Mg1 0.165 0.335 0.000
Cd1 0.142 0.642 0.500
Si1 0.000 0.000 0.500
```

---

Compound: Y2SeF
Source: the Alexandria database
Functional: GGA-PBE
Structure: optimized geometry

**Relative energy among the computed polymorphs**: 0 meV/atom
**Total magnetization**: 0.000 μB/atom

Cell and atoms, written as CIF:
```
data_Y2SeF
_symmetry_space_group_name_H-M 'I -4 2 d'
_symmetry_Int_Tables_number 122
_symmetry_space_group_name_Hall 'I -4 2bw'
_cell_length_a 6.005
_cell_length_b 6.005
_cell_length_c 11.622
_cell_angle_alpha 90.00
_cell_angle_beta 90.00
_cell_angle_gamma 90.00
loop_
_atom_site_label
_atom_site_fract_x
_atom_site_fract_y
_atom_site_fract_z
Y1 0.203 0.250 0.125
Se1 0.000 0.000 0.500
F1 0.000 0.000 0.000
```

---

Raw total energy for the records above, in order: -1.9335 -6.2609 eV/atom